1.
The following is a DFT calculation (GGA-PBE) of CaScC2 after structural relaxation.

Its final energy is -5.82 eV/atom. The spin magnetization is 0.00 μB/f.u. As for the formation enthalpy at 0 K: 0.87 eV/atom. The distance to the lowest polymorph of the same formula comes out at 55.2 meV per atom.

It has space group I-42d (No. 122), with a = 4.6980 Å, b = 4.6980 Å, c = 13.4686 Å, α = 90.00°, β = 90.00° and γ = 90.00°. The inequivalent atoms are Ca at (0.0000, 0.0000, 0.0000), Sc at (0.0000, 0.0000, 0.5000) and C at (0.1471, 0.2500, 0.6250).


2.
The following is a DFT calculation (GGA-PBE) of Ca7Zn2Cd2 after structural relaxation.

Its final energy is -1.75 eV/atom. The spin magnetization is 0.00 μB/f.u. As for the formation enthalpy at 0 K: -0.08 eV/atom.

It has space group Cmmm (No. 65), with a = 8.1791 Å, b = 11.8008 Å, c = 7.6850 Å, α = 90.00°, β = 90.00° and γ = 90.00°. The inequivalent atoms are Ca at (0.0000, 0.0000, 0.0000), Ca at (0.0000, 0.5000, 0.2473), Ca at (0.2500, 0.2500, 0.2730), Zn at (0.0000, 0.2899, 0.0000) and Cd at (0.1741, 0.0000, 0.5000).


3.
The following is a DFT calculation (GGA-PBE) of La6Tb2SmDy after structural relaxation.

Its final energy is -4.62 eV/atom. The spin magnetization is 0.00 μB/f.u. As for the formation enthalpy at 0 K: 0.19 eV/atom.

It has space group C2/m (No. 12), with a = 11.4424 Å, b = 7.0922 Å, c = 9.0993 Å, α = 90.00°, β = 104.79° and γ = 90.00°. The inequivalent atoms are La at (0.1331, 0.0000, 0.4276), La at (0.1865, 0.2766, 0.8047), Tb at (0.0835, 0.5000, 0.1660), Sm at (0.0000, 0.5000, 0.5000) and Dy at (0.0000, 0.0000, 0.0000).